*w*
VASP calculation (GGA-PBE) on VGeBr3 after structural relaxation.

POSCAR file:
```
VGeBr3
1.0
-0.048 -2.052 -4.719
4.564 -2.196 0.908
-2.376 -4.177 1.841
Ge Br V
1 3 1
Direct
0.500 0.500 0.500
0.000 0.500 0.000
0.000 0.000 0.500
0.500 0.000 0.000
0.000 0.000 0.000
```

Summary:
**Space-group type**: Pm-3m (221)


*x*
VASP calculation (GGA-PBE) on VGeBr3 after structural relaxation.

POSCAR file:
```
VGeBr3
1.0
5.406 0.000 0.000
0.000 5.406 0.000
0.000 0.000 5.406
Ge Br V
1 3 1
Direct
0.000 0.000 0.000
0.000 0.500 0.000
0.000 0.000 0.500
0.500 0.000 0.000
0.500 0.500 0.500
```

Summary:
**Space-group type**: Pm-3m (221)


Which is the most stable structure? *w* is the most stable.


*w*
VASP calculation (GGA-PBE) on V2Ge2Br after structural relaxation.

POSCAR file:
```
V2Ge2Br
1.0
-0.484 -4.566 -0.491
3.406 -0.026 -3.118
4.485 -2.972 1.504
Ge Br V
2 1 2
Direct
0.363 0.363 0.273
0.637 0.637 0.727
0.000 0.000 0.000
0.750 0.250 0.500
0.250 0.750 0.500
```

Summary:
**Space-group type**: I4/mmm (139)


*x*
VASP calculation (GGA-PBE) on V2Ge2Br after structural relaxation.

POSCAR file:
```
V2Ge2Br
1.0
-1.022 0.120 7.596
4.158 -6.406 0.661
2.413 1.597 0.299
Ge Br V
4 2 4
Direct
0.366 0.866 0.000
0.866 0.634 0.000
0.634 0.134 0.000
0.134 0.366 0.000
0.000 0.000 0.000
0.500 0.500 0.000
0.158 0.658 0.500
0.658 0.842 0.500
0.842 0.342 0.500
0.342 0.158 0.500
```

Summary:
**Space-group type**: P4/mbm (127)


Which is the most stable structure? *w* is the most stable.


*w*
VASP calculation (GGA-PBE) on VGe2Br2 after structural relaxation.

POSCAR file:
```
VGe2Br2
1.0
7.142 0.000 0.000
0.000 7.142 0.000
0.000 0.000 5.215
Ge Br V
4 4 2
Direct
0.258 0.758 0.000
0.758 0.742 0.000
0.742 0.242 0.000
0.242 0.258 0.000
0.187 0.687 0.500
0.687 0.813 0.500
0.813 0.313 0.500
0.313 0.187 0.500
0.000 0.000 0.000
0.500 0.500 0.000
```

Summary:
**Space-group type**: P4/mbm (127)


*x*
VASP calculation (GGA-PBE) on VGe2Br2 after structural relaxation.

POSCAR file:
```
VGe2Br2
1.0
-1.984 -3.541 -2.123
4.054 -1.226 -1.745
2.077 -5.901 2.959
Ge Br V
2 2 1
Direct
0.400 0.400 0.200
0.600 0.600 0.800
0.750 0.250 0.500
0.250 0.750 0.500
0.000 0.000 0.000
```

Summary:
**Space-group type**: I4/mmm (139)


Which is the most stable structure? *w* is the most stable.


*w*
VASP calculation (GGA-PBE) on VGeBr2 after structural relaxation.

POSCAR file:
```
VGeBr2
1.0
-0.241 3.593 3.431
1.977 4.467 -0.934
-2.962 3.930 -0.718
Ge Br V
1 2 1
Direct
0.500 0.500 0.500
0.250 0.250 0.250
0.750 0.750 0.750
0.000 0.000 0.000
```

Summary:
**Space-group type**: Fm-3m (225)


*x*
VASP calculation (GGA-PBE) on VGeBr2 after structural relaxation.

POSCAR file:
```
VGeBr2
1.0
9.330 0.000 0.000
0.000 9.330 0.000
4.665 4.665 2.517
Ge Br V
2 4 2
Direct
0.000 0.000 0.000
0.750 0.250 0.500
0.478 0.125 0.250
0.272 0.625 0.250
0.375 0.522 0.750
0.875 0.728 0.750
0.500 0.500 0.000
0.250 0.750 0.500
```

Summary:
**Space-group type**: I-42d (122)


Which is the most stable structure? *x* is the most stable.


*w*
VASP calculation (GGA-PBE) on VGe3Br after structural relaxation.

POSCAR file:
```
VGe3Br
1.0
-2.581 -1.641 -4.088
2.220 -4.577 0.436
-3.805 -1.557 3.027
Ge Br V
3 1 1
Direct
0.000 0.500 0.000
0.000 0.000 0.500
0.500 0.000 0.000
0.000 0.000 0.000
0.500 0.500 0.500
```

Summary:
**Space-group type**: Pm-3m (221)


*x*
VASP calculation (GGA-PBE) on VGe3Br after structural relaxation.

POSCAR file:
```
VGe3Br
1.0
4.866 0.000 0.000
0.000 4.866 0.000
0.000 0.000 4.866
Ge Br V
3 1 1
Direct
0.000 0.500 0.000
0.000 0.000 0.500
0.500 0.000 0.000
0.500 0.500 0.500
0.000 0.000 0.000
```

Summary:
**Space-group type**: Pm-3m (221)


Which is the most stable structure? *x* is the most stable.


*w*
VASP calculation (GGA-PBE) on GeWBr3 after structural relaxation.

POSCAR file:
```
GeWBr3
1.0
-3.563 -1.784 -3.625
-2.375 -2.985 3.803
-3.268 4.114 1.188
Ge Br W
1 3 1
Direct
0.000 0.000 0.000
0.000 0.500 0.000
0.000 0.000 0.500
0.500 0.000 0.000
0.500 0.500 0.500
```

Summary:
**Space-group type**: Pm-3m (221)


*x*
VASP calculation (GGA-PBE) on GeWBr3 after structural relaxation.

POSCAR file:
```
GeWBr3
1.0
5.190 0.000 0.000
0.000 5.190 0.000
0.000 0.000 5.190
Ge Br W
1 3 1
Direct
0.500 0.500 0.500
0.000 0.500 0.000
0.000 0.000 0.500
0.500 0.000 0.000
0.000 0.000 0.000
```

Summary:
**Space-group type**: Pm-3m (221)


Which is the most stable structure? *x* is the most stable.